[1]
Material: FeTc
Method: DFT, SCAN
State: PBEsol geometry

Calculated values
- DFT total energy (eV per atom) = -26.5967
- total magnetic moment (μB/f.u.) = 2.800
- formation energy (eV/atom) = 0.00
- space group = Imma

Cell lengths 4.8286, 4.8286, 4.8286 Å; angles 144.30, 129.49, 63.39 degrees
Closest atoms and distances in Å follow each position.
Fractional positions:
Fe 0.3839 0.1339 0.2500  2 Fe 2.41, 6 Tc 2.54-2.55
Fe 0.6161 0.8661 0.7500  2 Fe 2.41, 6 Tc 2.54-2.55
Tc 0.1307 0.3807 0.7500  6 Fe 2.54-2.55, 4 Tc 2.61-2.84
Tc 0.8693 0.6193 0.2500  6 Fe 2.54-2.55, 4 Tc 2.61-2.84



[2]
Material: TlHg2Au
Method: DFT, SCAN
State: PBEsol geometry

Calculated values
- DFT total energy (eV per atom) = -69.4343
- total magnetic moment (μB/f.u.) = 0.000
- formation energy (eV/atom) = 0.03
- space group = Cm

Cell lengths 4.7806, 4.7806, 5.9081 Å; angles 105.72, 105.72, 46.83 degrees
Closest atoms and distances in Å follow each position.
Fractional positions:
Tl 0.0000 0.0000 0.0000  3 Au 2.91-3.02, 3 Hg 3.09-3.10
Hg 0.2372 0.2372 0.7034  3 Hg 2.95-2.96, 3 Tl 3.09-3.10
Hg 0.4840 0.4840 0.4552  3 Au 2.83-2.89, 3 Hg 2.95-2.96
Au 0.7440 0.7440 0.2483  3 Hg 2.83-2.89, 3 Tl 2.91-3.02



[3]
Material: Be2CoAu
Method: DFT, SCAN
State: PBEsol geometry

Calculated values
- DFT total energy (eV per atom) = -23.9446
- total magnetic moment (μB/f.u.) = 1.267
- formation energy (eV/atom) = -0.15
- space group = Cm

Cell lengths 4.3879, 4.3879, 3.9468 Å; angles 106.54, 106.54, 36.09 degrees
Closest atoms and distances in Å follow each position.
Fractional positions:
Be 0.0000 0.0000 0.0000  4 Co 2.32-2.49, 3 Au 2.38-2.41, 2 Be 2.44
Be 0.7407 0.7407 0.3217  3 Co 2.33-2.40, 4 Au 2.39-2.40, 2 Be 2.44
Co 0.4789 0.4789 0.4596  7 Be 2.32-2.49
Au 0.2502 0.2502 0.8265  7 Be 2.38-2.41, 3 Co 2.65-2.67



[4]
Material: LiInAg2
Method: DFT, SCAN
State: PBEsol geometry

Calculated values
- DFT total energy (eV per atom) = -24.7934
- total magnetic moment (μB/f.u.) = 0.000
- formation energy (eV/atom) = -0.17
- space group = Cm

Cell lengths 5.1698, 5.1698, 4.7100 Å; angles 108.03, 108.03, 35.88 degrees
Closest atoms and distances in Å follow each position.
Fractional positions:
Li 0.0000 0.0000 0.0000  7 Ag 2.79-2.92, 2 In 2.97
In 0.2396 0.2396 0.6900  7 Ag 2.82-2.90, 3 Li 2.97-3.15
Ag 0.4894 0.4894 0.4923  3 In 2.82-2.90, 4 Li 2.84-2.85, 2 Ag 2.85
Ag 0.7454 0.7454 0.1902  3 Li 2.79-2.92, 4 In 2.83-2.86, 2 Ag 2.85



[5]
Material: MgPBr2
Method: DFT, SCAN
State: PBEsol geometry

Calculated values
- DFT total energy (eV per atom) = -13.6786
- total magnetic moment (μB/f.u.) = 0.000
- formation energy from raw total energies (kJ per mole of atoms) = -10.2
- space group = Pmmm

Cell lengths 3.3960, 4.2781, 5.9159 Å; angles 90.00, 90.00, 90.00 degrees
Closest atoms and distances in Å follow each position.
Fractional positions:
Mg 0.0000 0.0000 0.0000  4 Br 2.73
P 0.5000 0.0000 0.5000  4 Br 2.73
Br 0.0000 0.5000 0.5000  4 P 2.73
Br 0.5000 0.5000 0.0000  4 Mg 2.73



[6]
Material: AsPb2Au
Method: DFT, SCAN
State: PBEsol geometry

Calculated values
- DFT total energy (eV per atom) = -60.2571
- total magnetic moment (μB/f.u.) = 0.000
- formation energy (eV/atom) = -0.03
- space group = Pm

Cell lengths 4.2090, 4.1449, 5.9583 Å; angles 90.00, 110.45, 90.00 degrees
Closest atoms and distances in Å follow each position.
Fractional positions:
As 0.0000 0.0000 0.0000  2 Au 2.74, 1 Pb 3.05
Pb 0.4261 0.5000 0.8523  1 Au 2.97, 4 As 3.06-3.07
Pb 0.7277 0.0000 0.4537  4 Au 3.04-3.05, 3 As 3.05-3.30
Au 0.1623 0.5000 0.3198  2 As 2.74, 5 Pb 2.97-3.05



[7]
Material: TlCo2P
Method: DFT, SCAN
State: PBEsol geometry

Calculated values
- DFT total energy (eV per atom) = -28.9669
- total magnetic moment (μB/f.u.) = 0.000
- formation energy (eV/atom) = 0.37
- space group = Immm

Cell lengths 4.5901, 4.5901, 4.5901 Å; angles 138.02, 113.31, 82.00 degrees
Closest atoms and distances in Å follow each position.
Fractional positions:
Tl 0.0000 0.0000 0.0000  8 Co 2.71-2.84, 4 P 3.01
Co 0.3106 0.8106 0.5000  2 P 2.10
Co 0.6894 0.1894 0.5000  2 P 2.10
P 0.5000 0.5000 0.0000  4 Co 2.10



[8]
Material: LaBeOs4
Method: DFT, SCAN
State: PBEsol geometry

Calculated values
- DFT total energy (eV per atom) = -55.3763
- total magnetic moment (μB/f.u.) = 0.002
- formation energy (eV/atom) = 0.45
- space group = F-43m

Cell lengths 5.2575, 5.2575, 5.2575 Å; angles 60.00, 60.00, 60.00 degrees
Closest atoms and distances in Å follow each position.
Fractional positions:
La 0.0000 0.0000 0.0000  12 Os 3.08, 4 Be 3.22
Be 0.7500 0.7500 0.7500  12 Os 3.08, 4 La 3.22
Os 0.3759 0.3759 0.3759  6 Os 2.61-2.65
Os 0.3759 0.3759 0.8722  6 Os 2.61-2.65
Os 0.3759 0.8722 0.3759  6 Os 2.61-2.65
Os 0.8722 0.3759 0.3759  6 Os 2.61-2.65